DFT (PBE) results for an optimized crystal structure of ErScPdAu.

## Properties
Formation energy from the elements (eV per atom): -0.8497
Space group: No. 216
Uncorrected energy (eV per atom): -5.691

```
ErScPdAu
1.0
4.873 0.000 0.000
2.437 4.220 0.000
2.437 1.407 3.979
Er Sc Pd Au
1 1 1 1
Direct
0.750 0.750 0.750
0.250 0.250 0.250
0.500 0.500 0.500
0.000 0.000 0.000
```